This record from Alexandria describes a PBEsol-optimized structure of Ag2Te2Au. The functional is meta-GGA SCAN.

Output
calculated density	9.19	Mg/m³
SG	No. 139
raw formation energy	0.411	eV/atom

Cell lengths 7.628, 7.628, 7.628 Å; angles 148.51, 148.51, 45.13 degrees
Sites, in units of the cell vectors:
Ag: 0.091 0.091 0.000
Ag: 0.909 0.909 0.000
Te: 0.250 0.750 0.500
Te: 0.750 0.250 0.500
Au: 0.500 0.500 0.000


This record from Alexandria describes a PBEsol-optimized structure of AgTeAu2. The functional is meta-GGA SCAN.

Output
calculated density	12.89	Mg/m³
SG	No. 25
raw formation energy	0.013	eV/atom

Cell lengths 2.977, 3.859, 7.059 Å; angles 90.00, 90.00, 90.00 degrees
Sites, in units of the cell vectors:
Ag: 0.000 0.000 0.000
Te: 0.000 0.500 0.698
Au: 0.000 0.000 0.407
Au: 0.500 0.500 0.204


no.,VASP energy (eV per atom)
1,-40.867
2,-51.720